Entry 1:
This record from Alexandria describes an optimized crystal structure of FePSeCl2. The functional is PBE-GGA.

abc: 4.877 4.877 5.070
angles: 90.00 90.00 90.00
Sites, in units of the cell vectors:
1 P 0.000 0.000 0.500
2 Fe 0.500 0.500 0.500
3 Se 0.000 0.000 0.000
4 Cl 0.000 0.500 0.000
5 Cl 0.500 0.000 0.000

Results
E above lowest polymorph ... 550 meV per atom
DOS(E_F) ... 9.156 states/eV per cell
Raw formation energy ... 0.9191 eV/atom

=====

Entry 2:
This record from Alexandria describes an optimized crystal structure of FeP2SeCl. The functional is PBE-GGA.

abc: 4.418 4.418 4.495
angles: 90.00 90.00 90.00
Sites, in units of the cell vectors:
1 P 0.000 0.500 0.000
2 P 0.500 0.000 0.000
3 Fe 0.000 0.000 0.000
4 Se 0.500 0.500 0.500
5 Cl 0.000 0.000 0.500

Results
E above lowest polymorph ... 0 meV per atom
DOS(E_F) ... 4.372 states/eV per cell
Raw formation energy ... 0.4388 eV/atom

=====

Entry 3:
This record from Alexandria describes an optimized crystal structure of FeSiP2Cl. The functional is PBE-GGA.

abc: 4.259 4.259 5.002
angles: 90.00 90.00 90.00
Sites, in units of the cell vectors:
1 P 0.000 0.500 0.000
2 P 0.500 0.000 0.000
3 Si 0.500 0.500 0.500
4 Fe 0.000 0.000 0.000
5 Cl 0.000 0.000 0.500

Results
E above lowest polymorph ... 0 meV per atom
DOS(E_F) ... 4.252 states/eV per cell
Raw formation energy ... 0.5897 eV/atom

=====

Entry 4:
This record from Alexandria describes an optimized crystal structure of FeSiPCl2. The functional is PBE-GGA.

abc: 4.574 4.574 4.882
angles: 90.00 90.00 90.00
Sites, in units of the cell vectors:
1 P 0.000 0.000 0.500
2 Si 0.000 0.000 0.000
3 Fe 0.500 0.500 0.500
4 Cl 0.000 0.500 0.000
5 Cl 0.500 0.000 0.000

Results
E above lowest polymorph ... 60 meV per atom
DOS(E_F) ... 7.019 states/eV per cell
Raw formation energy ... 0.5583 eV/atom

=====

Entry 5:
This record from Alexandria describes an optimized crystal structure of FeSiPCl2. The functional is PBE-GGA.

abc: 4.587 4.587 4.448
angles: 90.00 90.00 90.00
Sites, in units of the cell vectors:
1 P 0.000 0.000 0.500
2 Si 0.500 0.500 0.500
3 Fe 0.000 0.000 0.000
4 Cl 0.000 0.500 0.000
5 Cl 0.500 0.000 0.000

Results
E above lowest polymorph ... 0 meV per atom
DOS(E_F) ... 7.410 states/eV per cell
Raw formation energy ... 0.4978 eV/atom

=====

Entry 6:
This record from Alexandria describes an optimized crystal structure of FeSnP2Cl. The functional is PBE-GGA.

abc: 4.884 4.884 4.809
angles: 90.00 90.00 90.00
Sites, in units of the cell vectors:
1 P 0.000 0.500 0.000
2 P 0.500 0.000 0.000
3 Cl 0.000 0.000 0.500
4 Sn 0.000 0.000 0.000
5 Fe 0.500 0.500 0.500

Results
E above lowest polymorph ... 937 meV per atom
DOS(E_F) ... 5.200 states/eV per cell
Raw formation energy ... 1.1546 eV/atom